No. 1
Below is a relaxed TbPrSc crystal, with properties calculated at the GGA-PBE level.

Calculated values
ΔE to the lowest computed polymorph (eV per atom): 0.156
Fermi-level density of states (states/eV/cell): 22.73
ΔH_f (0 K) (eV/atom): 0.21

a b c (Å): 10.372 6.453 6.453
angles (deg): 60.55 90.00 90.00
Atoms (fractional coordinates):
Tb (0.174, 0.000, 0.000)
Tb (0.308, 0.690, 0.690)
Tb (0.692, 0.690, 0.690)
Tb (0.826, 0.000, 0.000)
Pr (0.238, 0.298, 0.298)
Pr (0.500, 0.210, 0.698)
Pr (0.500, 0.698, 0.210)
Pr (0.762, 0.298, 0.298)
Sc (0.000, 0.514, 0.514)
Sc (0.000, 0.530, 0.991)
Sc (0.000, 0.991, 0.530)
Sc (0.500, 0.186, 0.186)

---

No. 2
Below is a relaxed Tb2Pr3Sc crystal, with properties calculated at the GGA-PBE level.

Calculated values
ΔE to the lowest computed polymorph (eV per atom): 0.000
Fermi-level density of states (states/eV/cell): 18.46
ΔH_f (0 K) (eV/atom): 0.04

a b c (Å): 6.218 8.015 8.812
angles (deg): 68.33 89.79 74.89
Atoms (fractional coordinates):
Tb (0.049, 0.116, 0.296)
Tb (0.294, 0.881, 0.038)
Tb (0.706, 0.119, 0.962)
Tb (0.951, 0.884, 0.704)
Pr (0.127, 0.372, 0.874)
Pr (0.207, 0.627, 0.457)
Pr (0.460, 0.362, 0.216)
Pr (0.540, 0.638, 0.784)
Pr (0.793, 0.373, 0.543)
Pr (0.873, 0.628, 0.126)
Sc (0.378, 0.119, 0.624)
Sc (0.622, 0.881, 0.376)

---

No. 3
Below is a relaxed Tb5Pr8Sc crystal, with properties calculated at the GGA-PBE level.

Calculated values
Fermi-level density of states (states/eV/cell): 21.56
ΔH_f (0 K) (eV/atom): 0.26

a b c (Å): 8.597 8.597 8.597
angles (deg): 110.79 110.79 106.87
Atoms (fractional coordinates):
Tb (0.000, 0.000, 0.000)
Tb (0.220, 0.321, 0.693)
Tb (0.473, 0.780, 0.101)
Tb (0.628, 0.527, 0.307)
Tb (0.679, 0.372, 0.899)
Pr (0.161, 0.434, 0.103)
Pr (0.330, 0.058, 0.897)
Pr (0.420, 0.157, 0.396)
Pr (0.566, 0.670, 0.728)
Pr (0.761, 0.024, 0.604)
Pr (0.843, 0.239, 0.263)
Pr (0.942, 0.839, 0.272)
Pr (0.976, 0.580, 0.737)
Sc (0.250, 0.750, 0.500)

---

No. 4
Below is a relaxed Tb2PrSc2 crystal, with properties calculated at the GGA-PBE level.

Calculated values
ΔE to the lowest computed polymorph (eV per atom): 0.409
Fermi-level density of states (states/eV/cell): 18.72
ΔH_f (0 K) (eV/atom): 0.54

a b c (Å): 12.064 11.084 6.242
angles (deg): 83.24 65.84 30.92
Atoms (fractional coordinates):
Tb (0.042, 0.708, 0.042)
Tb (0.292, 0.958, 0.292)
Tb (0.708, 0.042, 0.708)
Tb (0.958, 0.292, 0.958)
Pr (0.375, 0.375, 0.375)
Pr (0.625, 0.625, 0.625)
Sc (0.000, 0.500, 0.500)
Sc (0.500, 0.000, 0.500)
Sc (0.500, 0.500, 0.000)
Sc (0.500, 0.500, 0.500)

---

No. 5
Below is a relaxed Tb4Pr3Sc2 crystal, with properties calculated at the GGA-PBE level.

Calculated values
ΔE to the lowest computed polymorph (eV per atom): 0.000
Fermi-level density of states (states/eV/cell): 12.41
ΔH_f (0 K) (eV/atom): 0.04

a b c (Å): 8.665 8.665 9.680
angles (deg): 99.64 99.64 23.47
Atoms (fractional coordinates):
Tb (0.014, 0.014, 0.324)
Tb (0.325, 0.325, 0.774)
Tb (0.675, 0.675, 0.226)
Tb (0.986, 0.986, 0.676)
Pr (0.341, 0.341, 0.410)
Pr (0.500, 0.500, 0.000)
Pr (0.659, 0.659, 0.590)
Sc (0.168, 0.168, 0.924)
Sc (0.832, 0.832, 0.076)

---

No. 6
Below is a relaxed Tb5PrSc2 crystal, with properties calculated at the GGA-PBE level.

Calculated values
ΔE to the lowest computed polymorph (eV per atom): 0.005
Fermi-level density of states (states/eV/cell): 24.19
ΔH_f (0 K) (eV/atom): 0.04

a b c (Å): 7.016 14.040 4.934
angles (deg): 90.00 90.00 90.00
Atoms (fractional coordinates):
Tb (0.000, 0.000, 0.000)
Tb (0.003, 0.249, 0.000)
Tb (0.247, 0.874, 0.500)
Tb (0.253, 0.374, 0.500)
Tb (0.497, 0.749, 0.000)
Tb (0.500, 0.500, 0.000)
Tb (0.503, 0.251, 0.000)
Tb (0.747, 0.626, 0.500)
Tb (0.753, 0.126, 0.500)
Tb (0.997, 0.751, 0.000)
Pr (0.000, 0.500, 0.000)
Pr (0.500, 0.000, 0.000)
Sc (0.249, 0.626, 0.500)
Sc (0.251, 0.126, 0.500)
Sc (0.749, 0.874, 0.500)
Sc (0.751, 0.374, 0.500)

---

No. 7
Below is a relaxed Tb3Pr6Sc crystal, with properties calculated at the GGA-PBE level.

Calculated values
Fermi-level density of states (states/eV/cell): 19.44
ΔH_f (0 K) (eV/atom): 0.20

a b c (Å): 7.009 7.009 7.009
angles (deg): 90.79 90.79 90.79
Atoms (fractional coordinates):
Tb (0.000, 0.000, 0.000)
Tb (0.255, 0.255, 0.255)
Tb (0.745, 0.745, 0.745)
Pr (0.086, 0.420, 0.746)
Pr (0.254, 0.914, 0.580)
Pr (0.420, 0.746, 0.086)
Pr (0.580, 0.254, 0.914)
Pr (0.746, 0.086, 0.420)
Pr (0.914, 0.580, 0.254)
Sc (0.500, 0.500, 0.500)

---

No. 8
Below is a relaxed Tb5Pr4Sc crystal, with properties calculated at the GGA-PBE level.

Calculated values
ΔE to the lowest computed polymorph (eV per atom): 0.064
Fermi-level density of states (states/eV/cell): 14.07
ΔH_f (0 K) (eV/atom): 0.18

a b c (Å): 9.213 9.213 10.363
angles (deg): 95.05 95.05 22.53
Atoms (fractional coordinates):
Tb (0.000, 0.000, 0.000)
Tb (0.311, 0.311, 0.906)
Tb (0.355, 0.355, 0.262)
Tb (0.645, 0.645, 0.738)
Tb (0.689, 0.689, 0.094)
Pr (0.180, 0.180, 0.414)
Pr (0.462, 0.462, 0.738)
Pr (0.538, 0.538, 0.262)
Pr (0.820, 0.820, 0.586)
Sc (0.000, 0.000, 0.500)

---

No. 9
Below is a relaxed TbPr12Sc3 crystal, with properties calculated at the GGA-PBE level.

Calculated values
Fermi-level density of states (states/eV/cell): 21.12
ΔH_f (0 K) (eV/atom): 0.03

a b c (Å): 5.113 5.113 20.457
angles (deg): 90.00 90.00 90.00
Atoms (fractional coordinates):
Tb (0.000, 0.000, 0.000)
Pr (0.000, 0.500, 0.129)
Pr (0.000, 0.500, 0.376)
Pr (0.000, 0.500, 0.624)
Pr (0.000, 0.500, 0.871)
Pr (0.500, 0.000, 0.129)
Pr (0.500, 0.000, 0.376)
Pr (0.500, 0.000, 0.624)
Pr (0.500, 0.000, 0.871)
Pr (0.500, 0.500, 0.000)
Pr (0.500, 0.500, 0.252)
Pr (0.500, 0.500, 0.500)
Pr (0.500, 0.500, 0.748)
Sc (0.000, 0.000, 0.252)
Sc (0.000, 0.000, 0.500)
Sc (0.000, 0.000, 0.748)

---

No. 10
Below is a relaxed Tb4PrSc5 crystal, with properties calculated at the GGA-PBE level.

Calculated values
ΔE to the lowest computed polymorph (eV per atom): 0.000
Fermi-level density of states (states/eV/cell): 33.52
ΔH_f (0 K) (eV/atom): 0.11

a b c (Å): 6.234 8.524 11.299
angles (deg): 90.91 105.28 95.74
Atoms (fractional coordinates):
Tb (0.067, 0.316, 0.392)
Tb (0.101, 0.189, 0.000)
Tb (0.270, 0.973, 0.547)
Tb (0.429, 0.683, 0.078)
Tb (0.571, 0.317, 0.922)
Tb (0.730, 0.027, 0.453)
Tb (0.899, 0.811, 0.000)
Tb (0.933, 0.684, 0.608)
Pr (0.407, 0.666, 0.393)
Pr (0.593, 0.334, 0.607)
Sc (0.012, 0.521, 0.858)
Sc (0.121, 0.256, 0.698)
Sc (0.253, 0.000, 0.245)
Sc (0.295, 0.934, 0.851)
Sc (0.476, 0.642, 0.745)
Sc (0.524, 0.358, 0.255)
Sc (0.705, 0.066, 0.149)
Sc (0.747, 0.000, 0.755)
Sc (0.879, 0.744, 0.302)
Sc (0.988, 0.479, 0.142)

---

No. 11
Below is a relaxed Tb7Pr3Sc crystal, with properties calculated at the GGA-PBE level.

Calculated values
Fermi-level density of states (states/eV/cell): 16.38
ΔH_f (0 K) (eV/atom): 0.17

a b c (Å): 7.070 7.070 8.687
angles (deg): 90.00 90.00 120.00
Atoms (fractional coordinates):
Tb (0.000, 0.000, 0.000)
Tb (0.166, 0.332, 0.324)
Tb (0.166, 0.834, 0.324)
Tb (0.501, 0.003, 0.002)
Tb (0.501, 0.499, 0.002)
Tb (0.668, 0.834, 0.324)
Tb (0.997, 0.499, 0.002)
Pr (0.335, 0.168, 0.658)
Pr (0.832, 0.168, 0.658)
Pr (0.832, 0.665, 0.658)
Sc (0.667, 0.333, 0.320)

---

No. 12
Below is a relaxed Tb2Pr2Sc3 crystal, with properties calculated at the GGA-PBE level.

Calculated values
Fermi-level density of states (states/eV/cell): 20.38
ΔH_f (0 K) (eV/atom): 0.21

a b c (Å): 8.180 8.180 8.180
angles (deg): 109.47 109.47 109.47
Atoms (fractional coordinates):
Tb (0.000, 0.070, 0.500)
Tb (0.070, 0.500, 0.000)
Tb (0.430, 0.430, 0.430)
Tb (0.500, 0.000, 0.070)
Pr (0.000, 0.671, 0.500)
Pr (0.500, 0.000, 0.671)
Pr (0.671, 0.500, 0.000)
Pr (0.829, 0.829, 0.829)
Sc (0.210, 0.960, 0.250)
Sc (0.250, 0.210, 0.960)
Sc (0.290, 0.540, 0.750)
Sc (0.540, 0.750, 0.290)
Sc (0.750, 0.290, 0.540)
Sc (0.960, 0.250, 0.210)

---

No. 13
Below is a relaxed Tb4Pr2Sc crystal, with properties calculated at the GGA-PBE level.

Calculated values
ΔE to the lowest computed polymorph (eV per atom): 0.359
Fermi-level density of states (states/eV/cell): 15.85
ΔH_f (0 K) (eV/atom): 0.55

a b c (Å): 5.392 5.392 17.469
angles (deg): 90.00 90.00 90.00
Atoms (fractional coordinates):
Tb (0.000, 0.000, 0.175)
Tb (0.000, 0.000, 0.825)
Tb (0.000, 0.500, 0.000)
Tb (0.000, 0.500, 0.500)
Tb (0.500, 0.000, 0.000)
Tb (0.500, 0.000, 0.500)
Tb (0.500, 0.500, 0.325)
Tb (0.500, 0.500, 0.675)
Pr (0.000, 0.000, 0.373)
Pr (0.000, 0.000, 0.627)
Pr (0.500, 0.500, 0.127)
Pr (0.500, 0.500, 0.873)
Sc (0.000, 0.000, 0.000)
Sc (0.500, 0.500, 0.500)

---

No. 14
Below is a relaxed Tb6Pr5Sc crystal, with properties calculated at the GGA-PBE level.

Calculated values
Fermi-level density of states (states/eV/cell): 15.60
ΔH_f (0 K) (eV/atom): 0.03

a b c (Å): 6.237 6.237 11.925
angles (deg): 94.99 94.99 119.98
Atoms (fractional coordinates):
Tb (0.082, 0.412, 0.247)
Tb (0.248, 0.248, 0.753)
Tb (0.412, 0.082, 0.247)
Tb (0.588, 0.918, 0.753)
Tb (0.752, 0.752, 0.247)
Tb (0.918, 0.588, 0.753)
Pr (0.167, 0.833, 0.500)
Pr (0.334, 0.666, 0.000)
Pr (0.500, 0.500, 0.500)
Pr (0.666, 0.334, 0.000)
Pr (0.833, 0.167, 0.500)
Sc (0.000, 0.000, 0.000)

---

No. 15
Below is a relaxed Tb2PrSc4 crystal, with properties calculated at the GGA-PBE level.

Calculated values
ΔE to the lowest computed polymorph (eV per atom): 0.000
Fermi-level density of states (states/eV/cell): 10.70
ΔH_f (0 K) (eV/atom): 0.06

a b c (Å): 5.858 5.911 5.936
angles (deg): 99.72 99.75 99.62
Atoms (fractional coordinates):
Tb (0.152, 0.292, 0.074)
Tb (0.848, 0.708, 0.926)
Pr (0.000, 0.000, 0.500)
Sc (0.291, 0.575, 0.641)
Sc (0.432, 0.858, 0.214)
Sc (0.568, 0.142, 0.786)
Sc (0.709, 0.425, 0.359)

---

No. 16
Below is a relaxed Tb8Pr3Sc4 crystal, with properties calculated at the GGA-PBE level.

Calculated values
Fermi-level density of states (states/eV/cell): 24.74
ΔH_f (0 K) (eV/atom): 0.38

a b c (Å): 8.911 8.911 6.645
angles (deg): 108.80 108.80 84.64
Atoms (fractional coordinates):
Tb (0.202, 0.202, 0.162)
Tb (0.209, 0.791, 0.000)
Tb (0.261, 0.739, 0.500)
Tb (0.269, 0.269, 0.688)
Tb (0.731, 0.731, 0.312)
Tb (0.739, 0.261, 0.500)
Tb (0.791, 0.209, 0.000)
Tb (0.798, 0.798, 0.838)
Pr (0.000, 0.000, 0.500)
Pr (0.000, 0.500, 0.000)
Pr (0.500, 0.000, 0.000)
Sc (0.000, 0.500, 0.500)
Sc (0.500, 0.000, 0.500)
Sc (0.500, 0.500, 0.000)
Sc (0.500, 0.500, 0.500)

---

No. 17
Below is a relaxed Tb8Pr2Sc3 crystal, with properties calculated at the GGA-PBE level.

Calculated values
ΔE to the lowest computed polymorph (eV per atom): 0.063
Fermi-level density of states (states/eV/cell): 18.75
ΔH_f (0 K) (eV/atom): 0.25

a b c (Å): 8.603 8.603 6.590
angles (deg): 96.71 96.71 60.82
Atoms (fractional coordinates):
Tb (0.075, 0.709, 0.078)
Tb (0.088, 0.088, 0.389)
Tb (0.291, 0.925, 0.922)
Tb (0.312, 0.312, 0.710)
Tb (0.688, 0.688, 0.290)
Tb (0.709, 0.075, 0.078)
Tb (0.912, 0.912, 0.611)
Tb (0.925, 0.291, 0.922)
Pr (0.294, 0.294, 0.219)
Pr (0.706, 0.706, 0.781)
Sc (0.337, 0.663, 0.500)
Sc (0.500, 0.500, 0.000)
Sc (0.663, 0.337, 0.500)

---

No. 18
Below is a relaxed Tb2Pr2Sc crystal, with properties calculated at the GGA-PBE level.

Calculated values
ΔE to the lowest computed polymorph (eV per atom): 0.000
Fermi-level density of states (states/eV/cell): 15.86
ΔH_f (0 K) (eV/atom): 0.19

a b c (Å): 16.452 16.452 16.452
angles (deg): 167.68 160.09 23.48
Atoms (fractional coordinates):
Tb (0.269, 0.019, 0.250)
Tb (0.365, 0.115, 0.250)
Tb (0.635, 0.885, 0.750)
Tb (0.731, 0.981, 0.750)
Pr (0.065, 0.815, 0.250)
Pr (0.456, 0.706, 0.750)
Pr (0.544, 0.294, 0.250)
Pr (0.935, 0.185, 0.750)
Sc (0.177, 0.427, 0.750)
Sc (0.823, 0.573, 0.250)

---

No. 19
Below is a relaxed Tb3Pr4Sc2 crystal, with properties calculated at the GGA-PBE level.

Calculated values
ΔE to the lowest computed polymorph (eV per atom): 0.000
Fermi-level density of states (states/eV/cell): 14.47
ΔH_f (0 K) (eV/atom): 0.09

a b c (Å): 6.646 6.646 14.165
angles (deg): 114.90 114.90 31.62
Atoms (fractional coordinates):
Tb (0.000, 0.000, 0.000)
Tb (0.010, 0.010, 0.387)
Tb (0.990, 0.990, 0.613)
Pr (0.219, 0.219, 0.872)
Pr (0.278, 0.278, 0.385)
Pr (0.722, 0.722, 0.615)
Pr (0.781, 0.781, 0.128)
Sc (0.454, 0.454, 0.793)
Sc (0.546, 0.546, 0.207)

---

No. 20
Below is a relaxed Tb2Pr8Sc3 crystal, with properties calculated at the GGA-PBE level.

Calculated values
ΔE to the lowest computed polymorph (eV per atom): 0.058
Fermi-level density of states (states/eV/cell): 18.64
ΔH_f (0 K) (eV/atom): 0.24

a b c (Å): 8.784 8.784 6.717
angles (deg): 98.58 98.58 61.55
Atoms (fractional coordinates):
Tb (0.194, 0.194, 0.302)
Tb (0.806, 0.806, 0.698)
Pr (0.189, 0.189, 0.824)
Pr (0.206, 0.572, 0.565)
Pr (0.408, 0.408, 0.095)
Pr (0.428, 0.794, 0.435)
Pr (0.572, 0.206, 0.565)
Pr (0.592, 0.592, 0.905)
Pr (0.794, 0.428, 0.435)
Pr (0.811, 0.811, 0.176)
Sc (0.000, 0.000, 0.500)
Sc (0.161, 0.839, 0.000)
Sc (0.839, 0.161, 0.000)